The following is a DFT calculation (GGA+U) of a geometry-optimized YNiAs2O8 structure.

abc: 7.002 7.002 6.343
angles: 90.00 90.00 90.00
Space group I-4m2 (No. 119)
One atom of each set of equivalent atoms:
1 Y 0.000 0.000 0.000 (multiplicity 2)
2 Ni 0.000 0.500 0.750 (multiplicity 2)
3 As 0.000 0.000 0.500 (multiplicity 2)
4 As 0.000 0.500 0.250 (multiplicity 2)
5 O 0.000 0.188 0.678 (multiplicity 8)
6 O 0.000 0.317 0.073 (multiplicity 8)

Results
As for the mass density: 4.54 Mg/m³. The density of states at the Fermi level comes out at 0.710 states/eV per atom. The calculation puts the total energy at -152.34 eV/cell.